1.
VASP calculation (GGA-PBE) on an optimized crystal structure of Tm3Sn2Pd6.

a = 8.3216 Å, b = 8.3216 Å, c = 8.3216 Å
α = 109.47°, β = 109.47°, γ = 109.47°
With the nearest neighbours (Å) after each atom.
Atoms (fractional coordinates):
Tm 0.0000 0.2899 0.2899  4 Pd 2.93
Sn 0.0000 0.5000 0.0000  6 Pd 2.72
Tm 0.7101 0.7101 0.0000  4 Pd 2.93
Sn 0.5000 0.5000 0.5000  6 Pd 2.72
Sn 0.0000 0.0000 0.5000  6 Pd 2.72
Pd 0.0000 0.6563 0.3437  2 Sn 2.72, 6 Pd 2.78-3.00, 2 Tm 2.93
Pd 0.6563 0.3126 0.6563  2 Sn 2.72, 6 Pd 2.78-3.00, 2 Tm 2.93
Pd 0.0000 0.3437 0.6563  2 Sn 2.72, 6 Pd 2.78-3.00, 2 Tm 2.93
Sn 0.5000 0.0000 0.0000  6 Pd 2.72
Pd 0.3437 0.3437 0.6874  2 Sn 2.72, 6 Pd 2.78-3.00, 2 Tm 2.93
Tm 0.7101 0.0000 0.7101  4 Pd 2.93
Tm 0.0000 0.7101 0.7101  4 Pd 2.93
Pd 0.6563 0.3437 0.0000  2 Sn 2.72, 6 Pd 2.78-3.00, 2 Tm 2.93
Pd 0.3437 0.6563 0.0000  2 Sn 2.72, 6 Pd 2.78-3.00, 2 Tm 2.93
Pd 0.3437 0.6874 0.3437  2 Sn 2.72, 6 Pd 2.78-3.00, 2 Tm 2.93
Pd 0.3437 0.0000 0.6563  2 Sn 2.72, 6 Pd 2.78-3.00, 2 Tm 2.93
Pd 0.3126 0.6563 0.6563  2 Sn 2.72, 6 Pd 2.78-3.00, 2 Tm 2.93
Tm 0.2899 0.2899 0.0000  4 Pd 2.93
Pd 0.6874 0.3437 0.3437  2 Sn 2.72, 6 Pd 2.78-3.00, 2 Tm 2.93
Tm 0.2899 0.0000 0.2899  4 Pd 2.93
Pd 0.6563 0.6563 0.3126  2 Sn 2.72, 6 Pd 2.78-3.00, 2 Tm 2.93
Pd 0.6563 0.0000 0.3437  2 Sn 2.72, 6 Pd 2.78-3.00, 2 Tm 2.93

Calculated values
- DOS at the Fermi energy: 11.5 states/eV per cell
- Total magnetic moment: 0.00 μB/atom
- Space group: No. 229
- ΔH_f (0 K): -0.78 eV/atom

=====

2.
VASP calculation (GGA-PBE) on an optimized crystal structure of Tm2SnPd3.

a = 5.7372 Å, b = 7.0281 Å, c = 7.0281 Å
α = 112.08°, β = 90.00°, γ = 90.00°
With the nearest neighbours (Å) after each atom.
Atoms (fractional coordinates):
Tm 0.7196 0.1470 0.4888  6 Pd 2.84-2.92
Pd 0.4697 0.8514 0.1485  2 Sn 2.78, 2 Pd 2.87, 4 Tm 2.89-2.92
Pd 0.9697 0.1486 0.8515  2 Sn 2.78, 2 Pd 2.87, 4 Tm 2.89-2.92
Pd 0.9696 0.4999 0.4999  2 Sn 2.71, 4 Tm 2.84, 2 Pd 2.87
Tm 0.2196 0.8530 0.5112  6 Pd 2.84-2.92
Sn 0.7197 0.7923 0.7923  6 Pd 2.71-2.78
Tm 0.7196 0.4888 0.1470  6 Pd 2.84-2.92
Pd 0.9697 0.8515 0.1486  2 Sn 2.78, 2 Pd 2.87, 4 Tm 2.89-2.92
Pd 0.4697 0.1485 0.8514  2 Sn 2.78, 2 Pd 2.87, 4 Tm 2.89-2.92
Tm 0.2196 0.5112 0.8530  6 Pd 2.84-2.92
Pd 0.4696 0.5001 0.5001  2 Sn 2.71, 4 Tm 2.84, 2 Pd 2.87
Sn 0.2197 0.2077 0.2077  6 Pd 2.71-2.78

Calculated values
- DOS at the Fermi energy: 7.2 states/eV per cell
- Total magnetic moment: 0.00 μB/atom
- Space group: No. 63
- ΔH_f (0 K): -0.78 eV/atom

=====

3.
VASP calculation (GGA-PBE) on an optimized crystal structure of Tm2SnPd7.

a = 4.0232 Å, b = 8.2677 Å, c = 8.2678 Å
α = 127.20°, β = 90.00°, γ = 90.00°
With the nearest neighbours (Å) after each atom.
Atoms (fractional coordinates):
Pd 0.0000 0.1882 0.8118  2 Tm 2.69, 4 Pd 2.78, 1 Sn 2.79
Pd 0.5000 0.7183 0.9116  1 Tm 2.71, 5 Pd 2.72-2.86, 2 Sn 2.82
Pd 0.5000 0.0884 0.2817  1 Tm 2.71, 5 Pd 2.72-2.86, 2 Sn 2.82
Pd 0.5000 0.5000 0.5000  4 Pd 2.72, 2 Tm 2.84
Tm 0.5000 0.6916 0.3084  5 Pd 2.69-2.84
Pd 0.5000 0.2817 0.0884  1 Tm 2.71, 5 Pd 2.72-2.86, 2 Sn 2.82
Pd 0.0000 0.8118 0.1882  2 Tm 2.69, 4 Pd 2.78, 1 Sn 2.79
Pd 0.5000 0.9116 0.7183  1 Tm 2.71, 5 Pd 2.72-2.86, 2 Sn 2.82
Sn 0.0000 0.0000 0.0000  10 Pd 2.79-2.82
Tm 0.5000 0.3084 0.6916  5 Pd 2.69-2.84

Calculated values
- DOS at the Fermi energy: 3.6 states/eV per cell
- Total magnetic moment: 0.00 μB/atom
- Space group: No. 65
- ΔH_f (0 K): -0.25 eV/atom

=====

4.
VASP calculation (GGA-PBE) on an optimized crystal structure of TmSn2Pd9.

a = 4.0691 Å, b = 4.0691 Å, c = 12.1116 Å
α = 90.00°, β = 90.00°, γ = 90.00°
With the nearest neighbours (Å) after each atom.
Atoms (fractional coordinates):
Tm 0.0000 0.0000 0.0000  12 Pd 2.88-2.90
Pd 0.5000 0.0000 0.5000  8 Pd 2.84-2.88, 4 Sn 2.86
Pd 0.5000 0.0000 0.8292  2 Sn 2.84, 8 Pd 2.85-2.90, 2 Tm 2.90
Sn 0.0000 0.0000 0.6660  12 Pd 2.84-2.88
Pd 0.0000 0.5000 0.1708  2 Sn 2.84, 8 Pd 2.85-2.90, 2 Tm 2.90
Sn 0.0000 0.0000 0.3340  12 Pd 2.84-2.88
Pd 0.5000 0.0000 0.1708  2 Sn 2.84, 8 Pd 2.85-2.90, 2 Tm 2.90
Pd 0.5000 0.5000 0.6638  8 Pd 2.84-2.85, 4 Sn 2.88
Pd 0.5000 0.5000 0.0000  4 Tm 2.88, 8 Pd 2.90
Pd 0.0000 0.5000 0.8292  2 Sn 2.84, 8 Pd 2.85-2.90, 2 Tm 2.90
Pd 0.0000 0.5000 0.5000  8 Pd 2.84-2.88, 4 Sn 2.86
Pd 0.5000 0.5000 0.3362  8 Pd 2.84-2.85, 4 Sn 2.88

Calculated values
- DOS at the Fermi energy: 4.6 states/eV per cell
- Total magnetic moment: 0.00 μB/atom
- Space group: No. 123
- ΔH_f (0 K): -0.64 eV/atom

=====

5.
VASP calculation (GGA-PBE) on an optimized crystal structure of Tm6SnPd5.

a = 4.9889 Å, b = 6.9427 Å, c = 7.8995 Å
α = 90.00°, β = 108.70°, γ = 90.00°
With the nearest neighbours (Å) after each atom.
Atoms (fractional coordinates):
Tm 0.1708 0.2541 0.3440  7 Pd 2.97-3.09, 1 Sn 3.12
Tm 0.5000 0.7367 0.0000  6 Pd 2.97-3.01, 2 Sn 3.09, 1 Tm 3.29
Tm 0.5000 0.2633 0.0000  6 Pd 2.97-3.01, 2 Sn 3.09, 1 Tm 3.29
Pd 0.0000 0.5000 0.0000  8 Tm 2.99-3.09
Pd 0.6631 0.5000 0.3314  8 Tm 2.97-3.03
Tm 0.1708 0.7459 0.3440  7 Pd 2.97-3.09, 1 Sn 3.12
Sn 0.0000 0.0000 0.0000  8 Tm 3.09-3.12, 2 Pd 3.44
Tm 0.8292 0.7459 0.6560  7 Pd 2.97-3.09, 1 Sn 3.12
Pd 0.6562 0.0000 0.3201  8 Tm 3.01-3.07
Pd 0.3369 0.5000 0.6686  8 Tm 2.97-3.03
Pd 0.3438 0.0000 0.6799  8 Tm 3.01-3.07
Tm 0.8292 0.2541 0.6560  7 Pd 2.97-3.09, 1 Sn 3.12

Calculated values
- DOS at the Fermi energy: 8.0 states/eV per cell
- Total magnetic moment: 0.00 μB/atom
- Space group: No. 10
- ΔH_f (0 K): -0.87 eV/atom

=====

6.
VASP calculation (GGA-PBE) on an optimized crystal structure of Tm5Sn2Pd2.

a = 7.2729 Å, b = 8.3311 Å, c = 8.6507 Å
α = 118.79°, β = 90.00°, γ = 90.00°
With the nearest neighbours (Å) after each atom.
Atoms (fractional coordinates):
Tm 0.6532 0.3020 0.2472  3 Pd 2.85-3.16, 1 Sn 3.11
Pd 0.3647 0.1260 0.0000  7 Tm 2.85-3.16, 1 Pd 2.88
Tm 0.5000 0.5000 0.0000  2 Pd 2.85
Tm 0.3468 0.9452 0.2472  3 Pd 2.85-3.16, 1 Sn 3.11
Pd 0.8647 0.3740 0.0000  7 Tm 2.85-3.16, 1 Pd 2.88
Tm 0.3468 0.6980 0.7528  3 Pd 2.85-3.16, 1 Sn 3.11
Tm 0.1532 0.4452 0.2472  3 Pd 2.85-3.16, 1 Sn 3.11
Tm 0.1532 0.1980 0.7528  3 Pd 2.85-3.16, 1 Sn 3.11
Tm 0.6532 0.0548 0.7528  3 Pd 2.85-3.16, 1 Sn 3.11
Tm 0.8468 0.5548 0.7528  3 Pd 2.85-3.16, 1 Sn 3.11
Sn 0.5000 0.2884 0.5768  7 Tm 3.11-3.22
Tm 0.0000 0.0000 0.0000  2 Pd 2.85
Sn 0.0000 0.2116 0.4232  7 Tm 3.11-3.22
Tm 0.8468 0.8020 0.2472  3 Pd 2.85-3.16, 1 Sn 3.11
Pd 0.1353 0.6260 0.0000  7 Tm 2.85-3.16, 1 Pd 2.88
Pd 0.6353 0.8740 0.0000  7 Tm 2.85-3.16, 1 Pd 2.88
Sn 0.5000 0.7116 0.4232  7 Tm 3.11-3.22
Sn 0.0000 0.7884 0.5768  7 Tm 3.11-3.22

Calculated values
- DOS at the Fermi energy: 11.3 states/eV per cell
- Total magnetic moment: 0.00 μB/atom
- Space group: No. 64
- ΔH_f (0 K): -0.72 eV/atom

=====

7.
VASP calculation (GGA-PBE) on an optimized crystal structure of TmSn6Pd12.

a = 7.5719 Å, b = 7.5719 Å, c = 7.5719 Å
α = 106.28°, β = 106.28°, γ = 106.28°
With the nearest neighbours (Å) after each atom.
Atoms (fractional coordinates):
Pd 0.3603 0.1181 0.3603  4 Sn 2.80-2.93, 4 Pd 2.83-2.93, 1 Tm 2.96
Pd 0.3603 0.3603 0.1181  4 Sn 2.80-2.93, 4 Pd 2.83-2.93, 1 Tm 2.96
Pd 0.8819 0.6397 0.6397  4 Sn 2.80-2.93, 4 Pd 2.83-2.93, 1 Tm 2.96
Pd 0.1181 0.3603 0.3603  4 Sn 2.80-2.93, 4 Pd 2.83-2.93, 1 Tm 2.96
Sn 0.6960 0.2805 0.2805  8 Pd 2.66-2.93
Sn 0.7195 0.3040 0.7195  8 Pd 2.66-2.93
Pd 0.5000 0.8823 0.1177  4 Sn 2.66-2.68, 3 Pd 2.83-2.85
Sn 0.2805 0.2805 0.6960  8 Pd 2.66-2.93
Tm 0.0000 0.0000 0.0000  6 Pd 2.96
Pd 0.1177 0.8823 0.5000  4 Sn 2.66-2.68, 3 Pd 2.83-2.85
Pd 0.5000 0.1177 0.8823  4 Sn 2.66-2.68, 3 Pd 2.83-2.85
Sn 0.2805 0.6960 0.2805  8 Pd 2.66-2.93
Sn 0.3040 0.7195 0.7195  8 Pd 2.66-2.93
Pd 0.8823 0.1177 0.5000  4 Sn 2.66-2.68, 3 Pd 2.83-2.85
Pd 0.1177 0.5000 0.8823  4 Sn 2.66-2.68, 3 Pd 2.83-2.85
Pd 0.6397 0.6397 0.8819  4 Sn 2.80-2.93, 4 Pd 2.83-2.93, 1 Tm 2.96
Sn 0.7195 0.7195 0.3040  8 Pd 2.66-2.93
Pd 0.6397 0.8819 0.6397  4 Sn 2.80-2.93, 4 Pd 2.83-2.93, 1 Tm 2.96
Pd 0.8823 0.5000 0.1177  4 Sn 2.66-2.68, 3 Pd 2.83-2.85

Calculated values
- DOS at the Fermi energy: 9.6 states/eV per cell
- Total magnetic moment: 0.00 μB/atom
- Space group: No. 166
- ΔH_f (0 K): -0.44 eV/atom

=====

8.
VASP calculation (GGA-PBE) on an optimized crystal structure of Tm2SnPd3.

a = 4.7995 Å, b = 4.7995 Å, c = 11.8526 Å
α = 90.00°, β = 90.00°, γ = 120.00°
With the nearest neighbours (Å) after each atom.
Atoms (fractional coordinates):
Tm 0.0000 0.0000 0.0000  8 Pd 2.93-2.99
Pd 0.3333 0.6667 0.9199  7 Tm 2.93-3.03, 1 Sn 3.01
Pd 0.0000 0.0000 0.7481  5 Tm 2.92-2.99, 3 Sn 2.94
Pd 0.6667 0.3333 0.0801  7 Tm 2.93-3.03, 1 Sn 3.01
Sn 0.6667 0.3333 0.3336  8 Pd 2.89-3.01
Pd 0.6667 0.3333 0.5774  4 Sn 2.89-2.96, 4 Tm 2.92-2.93
Tm 0.3333 0.6667 0.1754  8 Pd 2.92-3.03
Sn 0.3333 0.6667 0.6664  8 Pd 2.89-3.01
Tm 0.6667 0.3333 0.8246  8 Pd 2.92-3.03
Tm 0.0000 0.0000 0.5000  8 Pd 2.92-2.94
Pd 0.0000 0.0000 0.2519  5 Tm 2.92-2.99, 3 Sn 2.94
Pd 0.3333 0.6667 0.4226  4 Sn 2.89-2.96, 4 Tm 2.92-2.93

Calculated values
- DOS at the Fermi energy: 7.2 states/eV per cell
- Total magnetic moment: 0.00 μB/atom
- Space group: No. 164
- ΔH_f (0 K): -0.89 eV/atom

=====

9.
VASP calculation (GGA-PBE) on an optimized crystal structure of Tm7Sn2Pd2.

a = 6.7951 Å, b = 6.9876 Å, c = 6.7951 Å
α = 90.00°, β = 106.19°, γ = 90.00°
With the nearest neighbours (Å) after each atom.
Atoms (fractional coordinates):
Tm 0.5002 0.7579 0.4998  2 Pd 2.87-2.88, 2 Sn 3.16
Tm 0.0002 0.7461 0.4997  2 Pd 2.73
Tm 0.0000 0.0000 0.0000  2 Pd 3.11
Sn 0.1813 0.5000 0.1813  1 Sn 2.96, 6 Tm 3.16-3.27
Tm 0.9998 0.2539 0.5003  2 Pd 2.73
Tm 0.4997 0.2539 0.0002  2 Pd 2.73
Tm 0.5003 0.7461 0.9998  2 Pd 2.73
Pd 0.7140 0.0000 0.2860  6 Tm 2.73-2.88
Tm 0.4998 0.2421 0.5002  2 Pd 2.87-2.88, 2 Sn 3.16
Sn 0.8187 0.5000 0.8187  1 Sn 2.96, 6 Tm 3.16-3.27
Pd 0.2860 0.0000 0.7140  6 Tm 2.73-2.88

Calculated values
- DOS at the Fermi energy: 9.7 states/eV per cell
- Total magnetic moment: 0.00 μB/atom
- Space group: No. 65
- ΔH_f (0 K): -0.44 eV/atom

=====

10.
VASP calculation (GGA-PBE) on an optimized crystal structure of TmSn3Pd12.

a = 4.0589 Å, b = 4.0589 Å, c = 16.1808 Å
α = 90.00°, β = 90.00°, γ = 90.00°
With the nearest neighbours (Å) after each atom.
Atoms (fractional coordinates):
Pd 0.0000 0.5000 0.3757  8 Pd 2.85-2.87, 4 Sn 2.86
Tm 0.0000 0.0000 0.0000  12 Pd 2.87-2.90
Pd 0.5000 0.5000 0.0000  4 Tm 2.87, 8 Pd 2.90
Sn 0.0000 0.0000 0.7486  12 Pd 2.84-2.87
Pd 0.5000 0.5000 0.7477  8 Pd 2.85, 4 Sn 2.87
Pd 0.5000 0.0000 0.8717  2 Sn 2.84, 8 Pd 2.85-2.90, 2 Tm 2.90
Pd 0.0000 0.5000 0.6243  8 Pd 2.85-2.87, 4 Sn 2.86
Pd 0.5000 0.0000 0.3757  8 Pd 2.85-2.87, 4 Sn 2.86
Pd 0.5000 0.0000 0.6243  8 Pd 2.85-2.87, 4 Sn 2.86
Pd 0.5000 0.0000 0.1283  2 Sn 2.84, 8 Pd 2.85-2.90, 2 Tm 2.90
Sn 0.0000 0.0000 0.2514  12 Pd 2.84-2.87
Sn 0.0000 0.0000 0.5000  12 Pd 2.86-2.87
Pd 0.0000 0.5000 0.1283  2 Sn 2.84, 8 Pd 2.85-2.90, 2 Tm 2.90
Pd 0.0000 0.5000 0.8717  2 Sn 2.84, 8 Pd 2.85-2.90, 2 Tm 2.90
Pd 0.5000 0.5000 0.5000  8 Pd 2.86, 4 Sn 2.87
Pd 0.5000 0.5000 0.2523  8 Pd 2.85, 4 Sn 2.87

Calculated values
- DOS at the Fermi energy: 4.6 states/eV per cell
- Total magnetic moment: 0.00 μB/atom
- Space group: No. 123
- ΔH_f (0 K): -0.61 eV/atom

=====

11.
VASP calculation (GGA-PBE) on an optimized crystal structure of TmSn2Pd.

a = 3.3718 Å, b = 3.3718 Å, c = 10.4360 Å
α = 80.70°, β = 80.70°, γ = 60.00°
With the nearest neighbours (Å) after each atom.
Atoms (fractional coordinates):
Pd 0.5000 0.5000 0.5000  6 Sn 2.81
Sn 0.1008 0.1008 0.6976  3 Pd 2.81, 1 Tm 3.10
Sn 0.8992 0.8992 0.3024  3 Pd 2.81, 1 Tm 3.10
Tm 0.0000 0.0000 0.0000  2 Sn 3.10, 6 Tm 3.37

Calculated values
- DOS at the Fermi energy: 2.0 states/eV per cell
- Total magnetic moment: 0.00 μB/atom
- Space group: No. 166
- ΔH_f (0 K): -0.16 eV/atom

=====

12.
VASP calculation (GGA-PBE) on an optimized crystal structure of TmSnPd4.

a = 3.6754 Å, b = 5.1501 Å, c = 6.8006 Å
α = 104.64°, β = 74.32°, γ = 69.09°
With the nearest neighbours (Å) after each atom.
Atoms (fractional coordinates):
Tm 0.5000 0.5000 0.5000  10 Pd 2.86-2.98
Pd 0.8194 0.5215 0.8396  3 Sn 2.81-3.07, 2 Tm 2.86, 6 Pd 2.86-3.09
Pd 0.6557 0.0133 0.6753  2 Sn 2.83, 6 Pd 2.90-3.09, 3 Tm 2.93-2.98
Pd 0.1806 0.4785 0.1604  3 Sn 2.81-3.07, 2 Tm 2.86, 6 Pd 2.86-3.09
Sn 0.0000 0.0000 0.0000  10 Pd 2.81-3.07
Pd 0.3443 0.9867 0.3247  2 Sn 2.83, 6 Pd 2.90-3.09, 3 Tm 2.93-2.98

Calculated values
- DOS at the Fermi energy: 2.8 states/eV per cell
- Total magnetic moment: 0.00 μB/atom
- Space group: No. 12
- ΔH_f (0 K): -0.70 eV/atom